[1]
Here is crystalline TaCu3Te at its relaxed geometry from Alexandria. Energies are from PBE.

a b c (Å): 4.822 4.822 4.822
angles (deg): 90.00 90.00 90.00
Atoms (fractional coordinates):
Ta 0.000 0.000 0.000
Cu 0.000 0.000 0.500
Cu 0.000 0.500 0.000
Cu 0.500 0.000 0.000
Te 0.500 0.500 0.500

Output
E_form (uncorrected): 1.332 eV per atom
ΔE to the lowest computed polymorph: 0 meV per atom

***

[2]
Here is crystalline Re2PtCl at its relaxed geometry from Alexandria. Energies are from PBE.

a b c (Å): 2.891 3.779 6.680
angles (deg): 90.00 90.00 90.00
Atoms (fractional coordinates):
Re 0.000 0.000 0.182
Re 0.000 0.000 0.818
Pt 0.500 0.500 0.000
Cl 0.500 0.500 0.500

Output
E_form (uncorrected): 0.877 eV per atom
ΔE to the lowest computed polymorph: 642 meV per atom